1.
Density functional theory data (PBE) for a geometry-optimized CrCo2H structure.

a b c (Å): 2.466 2.466 5.825
angles (deg): 90.00 90.00 90.00
Sites, in units of the cell vectors:
Cr  0.000  0.000  0.000
Co  0.500  0.500  0.299
Co  0.500  0.500  0.701
H  0.000  0.000  0.500

Calculated values
Mass density: 8.0 Mg/m³
Distance to the lowest polymorph of the same formula: 210 meV/atom
DFT total energy: -0.24045 hartree per atom

---

2.
Density functional theory data (PBE) for a geometry-optimized Rb2Au structure.

a b c (Å): 4.294 4.294 8.842
angles (deg): 103.94 103.94 89.97
Sites, in units of the cell vectors:
Rb  0.119  0.119  0.238
Rb  0.881  0.881  0.762
Au  0.500  0.500  0.000

Calculated values
Mass density: 4.0 Mg/m³
Energy of formation: -0.1932 eV/atom
DFT total energy: -0.07095 hartree per atom

---

3.
Density functional theory data (PBE) for a geometry-optimized Na3Ce2HoS6 structure.

a b c (Å): 7.075 7.075 7.070
angles (deg): 99.61 99.61 120.01
Sites, in units of the cell vectors:
Na  0.000  0.000  0.000
Na  0.334  0.666  0.000
Na  0.666  0.334  0.000
Ce  0.167  0.833  0.500
Ce  0.833  0.167  0.500
Ho  0.500  0.500  0.500
S  0.099  0.423  0.269
S  0.252  0.252  0.729
S  0.423  0.099  0.269
S  0.577  0.901  0.731
S  0.748  0.748  0.271
S  0.901  0.577  0.731

Calculated values
Mass density: 4.1 Mg/m³
DFT total energy: -0.20326 hartree per atom
Energy relative to the elements, uncorrected: -1.767 eV per atom